Compound: Tc2Mo2W5
Source: Alexandria via LeMat-Bulk
Functional: PBE
Structure: relaxed

Values from the calculation:
total magnetization = 0.0 μB per cell
SG = No. 2
DFT formation energy = 0.156 eV per atom

```
Tc2Mo2W5
1.0
-2.0734 -1.6721 0.5545
0.0758 -7.1051 -3.2108
4.4548 -3.7409 5.1983
Tc Mo W
2 2 5
Direct
0.7950 0.9965 0.6588
0.2050 0.0035 0.3412
0.7637 0.3338 0.7758
0.2364 0.6662 0.2242
0.6348 0.6668 0.8844
0.3652 0.3332 0.1156
0.9461 0.6686 0.5529
0.0539 0.3314 0.4471
0.0000 0.0000 0.0000
```

Compound: TcMoW2
Source: Alexandria via LeMat-Bulk
Functional: PBE
Structure: relaxed

Values from the calculation:
total magnetization = 0.0 μB per cell
excess energy over the best structure of this formula in the dataset = 0.004 eV/atom
SG = No. 225
DFT formation energy = 0.022 eV per atom

```
TcMoW2
1.0
2.4175 -3.7465 -0.0462
1.7501 -1.5709 3.7884
-1.6272 -3.7260 1.8308
Mo Tc W
1 1 2
Direct
0.0000 0.0000 0.0000
0.5000 0.5000 0.5000
0.2500 0.2500 0.2500
0.7500 0.7500 0.7500
```

Compound: Tc4MoW
Source: Alexandria via LeMat-Bulk
Functional: PBE
Structure: relaxed

Values from the calculation:
total magnetization = 0.0 μB per cell
SG = No. 216
DFT formation energy = 0.196 eV per atom

```
Tc4MoW
1.0
4.7200 -0.2793 -1.8668
2.3454 -4.4989 -0.3181
0.8140 -2.1263 -4.5451
Tc Mo W
4 1 1
Direct
0.8746 0.3751 0.3751
0.3751 0.3751 0.8746
0.3751 0.8746 0.3751
0.3751 0.3751 0.3751
0.0000 0.0000 0.0000
0.7500 0.7500 0.7500
```

Compound: TcMoW2
Source: Alexandria via LeMat-Bulk
Functional: PBE
Structure: relaxed

Values from the calculation:
total magnetization = 0.0 μB per cell
excess energy over the best structure of this formula in the dataset = 0.291 eV/atom
SG = No. 119
DFT formation energy = 0.310 eV per atom

```
TcMoW2
1.0
5.0379 0.2009 0.0000
1.8774 4.6793 0.0000
-3.4577 -2.4401 2.7407
Mo Tc W
1 1 2
Direct
0.5000 0.5000 0.0000
0.7500 0.2500 0.5000
0.0000 0.0000 0.0000
0.2500 0.7500 0.5000
```

Compound: Tc2MoW4
Source: Alexandria via LeMat-Bulk
Functional: PBE
Structure: relaxed

Values from the calculation:
total magnetization = 0.0 μB per cell
SG = No. 38
DFT formation energy = 0.409 eV per atom

```
Tc2MoW4
1.0
-0.4452 -6.0133 -1.3065
6.0032 -0.0695 -1.7257
-1.3598 -1.3397 6.6297
Tc Mo W
4 2 8
Direct
0.3750 0.8544 0.6196
0.3750 0.3549 0.6205
0.8750 0.3623 0.6352
0.3750 0.6008 0.1123
0.8750 0.6087 0.1282
0.8750 0.1094 0.1294
0.1245 0.7467 0.8766
0.6261 0.9817 0.3747
0.1245 0.2191 0.8765
0.6255 0.2191 0.8765
0.1240 0.9817 0.3746
0.6261 0.4823 0.3747
0.1240 0.4822 0.3747
0.6255 0.7467 0.8765
```

Compound: TcMo6W5
Source: Alexandria via LeMat-Bulk
Functional: PBE
Structure: relaxed

Values from the calculation:
total magnetization = 0.0 μB per cell
SG = No. 71
DFT formation energy = 0.009 eV per atom

```
TcMo6W5
1.0
4.2985 0.0181 -1.2544
-0.8721 5.5843 -2.9080
-0.0784 0.3954 7.7295
Mo Tc W
6 1 5
Direct
0.8334 0.5830 0.6668
0.8334 0.0839 0.6668
0.5000 0.7491 0.0000
0.5000 0.2509 0.0000
0.1666 0.9161 0.3332
0.1666 0.4170 0.3332
0.0000 0.0000 0.0000
0.6654 0.1654 0.3309
0.3330 0.3330 0.6660
0.0000 0.5000 0.0000
0.6670 0.6670 0.3340
0.3346 0.8346 0.6691
```

Compound: TcMoW
Source: Alexandria via LeMat-Bulk
Functional: PBE
Structure: relaxed

Values from the calculation:
total magnetization = 0.0 μB per cell
excess energy over the best structure of this formula in the dataset = 0.026 eV/atom
SG = No. 42
DFT formation energy = 0.082 eV per atom

```
TcMoW
1.0
7.0045 -0.0042 0.0031
6.2901 2.6368 0.0012
0.7145 -0.7688 2.5266
Mo Tc W
1 1 1
Direct
0.9989 0.9989 0.0011
0.3334 0.3334 0.6666
0.6680 0.6680 0.3320
```

Compound: Tc2Mo5W4
Source: Alexandria via LeMat-Bulk
Functional: PBE
Structure: relaxed

Values from the calculation:
total magnetization = 0.0 μB per cell
SG = No. 2
DFT formation energy = 0.643 eV per atom

```
Tc2Mo5W4
1.0
-0.2672 0.5090 -2.6506
8.4111 -2.3796 -2.3196
-2.4401 -8.7690 -0.6010
Tc Mo W
2 5 4
Direct
0.0196 0.1523 0.6659
0.9804 0.8477 0.3341
0.8030 0.3060 0.1981
0.1860 0.0392 0.1320
0.0000 0.5000 0.0000
0.8140 0.9608 0.8680
0.1970 0.6940 0.8019
0.4124 0.8861 0.5949
0.4229 0.2431 0.9207
0.5876 0.1139 0.4051
0.5771 0.7569 0.0793
```

Compound: TcMoW2
Source: Alexandria via LeMat-Bulk
Functional: PBE
Structure: relaxed

Values from the calculation:
total magnetization = 0.0 μB per cell
excess energy over the best structure of this formula in the dataset = 0.025 eV/atom
SG = No. 47
DFT formation energy = 0.044 eV per atom

```
TcMoW2
1.0
3.1545 0.0000 0.0000
0.0000 4.4845 0.0000
0.0000 0.0000 4.4458
Mo Tc W
1 1 2
Direct
0.5000 0.0000 0.5000
0.0000 0.5000 0.5000
0.0000 0.0000 0.0000
0.5000 0.5000 0.0000
```

Compound: TcMo4W
Source: Alexandria via LeMat-Bulk
Functional: PBE
Structure: relaxed

Values from the calculation:
total magnetization = 0.0 μB per cell
excess energy over the best structure of this formula in the dataset = 0.000 eV/atom
SG = No. 12
DFT formation energy = 0.023 eV per atom

```
TcMo4W
1.0
-2.8098 -1.4418 0.1931
3.6951 -3.6418 0.6526
-0.0542 4.2939 5.3534
Tc Mo W
1 4 1
Direct
0.4978 0.9973 0.5019
0.1647 0.9976 0.8353
0.8310 0.9969 0.1685
0.6620 0.4928 0.3346
0.3337 0.5017 0.6692
0.9978 0.4973 0.0019
```

Compound: TcMoW2
Source: Alexandria via LeMat-Bulk
Functional: PBE
Structure: relaxed

Values from the calculation:
total magnetization = 0.0 μB per cell
excess energy over the best structure of this formula in the dataset = 0.000 eV/atom
SG = No. 123
DFT formation energy = 0.019 eV per atom

```
TcMoW2
1.0
-1.2338 3.9731 -1.6173
-3.7161 -1.8306 -1.6625
-1.5125 0.6260 2.6916
Mo Tc W
1 1 2
Direct
0.5000 0.0000 0.5000
0.0000 0.5000 0.5000
0.0000 0.0000 0.0000
0.5000 0.5000 0.0000
```

Compound: TcMoW2
Source: Alexandria via LeMat-Bulk
Functional: PBE
Structure: relaxed

Values from the calculation:
total magnetization = 0.0 μB per cell
excess energy over the best structure of this formula in the dataset = 0.250 eV/atom
SG = No. 123
DFT formation energy = 0.269 eV per atom

```
TcMoW2
1.0
-1.1532 -2.5115 0.1652
2.0435 -0.8281 1.6743
-4.4067 2.4571 6.5938
Mo Tc W
1 1 2
Direct
0.5000 0.5000 0.2500
0.5000 0.5000 0.7500
0.0000 0.0000 0.9853
0.0000 0.0000 0.5147
```

- What is the DFT formation energy in the first record?
  0.156 eV per atom

- Which value of DFT formation energy does entry 11 give?
  0.019 eV per atom

- Look up the DFT formation energy of the second one.
  0.022 eV per atom